8
Lattice="-0.9025 -4.0744 1.5229 2.0038 0.9910 3.8389 -5.1793 0.6354 5.1099" Properties=species:S:1:pos:R:3 comment="HgP2H (GGA-PBE, relaxed)" energy_ev_per_atom=-3.046 spacegroup=I-42d rho_g_cm3=6.73 total_magnetization_mub_per_fu=0.0 dos_ef_per_ev_fu=1.19 pbc="T T T"
P -1.4704 -1.6407 2.4762
P -0.2933 -0.3542 4.1000
P -3.1650 -0.5282 6.4301
P -3.2273 -2.3730 7.9368
Hg 0.0000 0.0000 0.0000
Hg -2.7656 -2.4903 4.6568
H 0.5507 -1.5417 2.6809
H -1.3124 0.0423 5.8148